(1)
Compound: LiNb3Au
Source: the Alexandria database
Functional: GGA-PBE
Structure: relaxed

Cell and atoms, written as CIF:
```
data_LiNb3Au
_chemical_formula_sum 'Li1 Nb3 Au1'
_symmetry_space_group_name_H-M 'P 1'
_symmetry_Int_Tables_number 1
_cell_length_a 4.4066
_cell_length_b 4.4066
_cell_length_c 4.4066
_cell_angle_alpha 90.00
_cell_angle_beta 90.00
_cell_angle_gamma 90.00
loop_
_symmetry_equiv_pos_as_xyz
'x,y,z'
loop_
_atom_site_label
_atom_site_type_symbol
_atom_site_fract_x
_atom_site_fract_y
_atom_site_fract_z
Nb1 Nb 0.0000 0.5000 0.0000
Nb2 Nb 0.0000 0.0000 0.5000
Nb3 Nb 0.5000 0.0000 0.0000
Au1 Au 0.5000 0.5000 0.5000
Li1 Li 0.0000 0.0000 0.0000
```

## Properties
total magnetic moment = 0.00 μB per formula unit
excess energy over the best structure of this formula in the dataset = 0 meV/atom
Fermi-level density of states = 1.485 states/eV per atom
energy relative to the elements = 0.901 eV per atom
E = -0.4542 Ry/atom
space-group type = Pm-3m

(2)
Compound: LiNb2Au
Source: the Alexandria database
Functional: GGA-PBE
Structure: relaxed

Cell and atoms, written as CIF:
```
data_LiNb2Au
_chemical_formula_sum 'Li2 Nb4 Au2'
_symmetry_space_group_name_H-M 'P 1'
_symmetry_Int_Tables_number 1
_cell_length_a 7.5276
_cell_length_b 7.5276
_cell_length_c 5.9039
_cell_angle_alpha 50.39
_cell_angle_beta 50.39
_cell_angle_gamma 90.00
loop_
_symmetry_equiv_pos_as_xyz
'x,y,z'
loop_
_atom_site_label
_atom_site_type_symbol
_atom_site_fract_x
_atom_site_fract_y
_atom_site_fract_z
Nb1 Nb 0.6275 0.1250 0.2500
Nb2 Nb 0.1225 0.6250 0.2500
Nb3 Nb 0.3750 0.3725 0.7500
Nb4 Nb 0.8750 0.8775 0.7500
Au1 Au 0.0000 0.0000 0.0000
Au2 Au 0.7500 0.2500 0.5000
Li1 Li 0.5000 0.5000 0.0000
Li2 Li 0.2500 0.7500 0.5000
```

## Properties
total magnetic moment = 0.00 μB per formula unit
Fermi-level density of states = 0.650 states/eV per atom
energy relative to the elements = 0.426 eV per atom
E = -0.4342 Ry/atom
space-group type = I-42d

(3)
Compound: Li3NbAu
Source: the Alexandria database
Functional: GGA-PBE
Structure: relaxed

Cell and atoms, written as CIF:
```
data_Li3NbAu
_chemical_formula_sum 'Li3 Nb1 Au1'
_symmetry_space_group_name_H-M 'P 1'
_symmetry_Int_Tables_number 1
_cell_length_a 4.5227
_cell_length_b 4.5227
_cell_length_c 4.5227
_cell_angle_alpha 90.00
_cell_angle_beta 90.00
_cell_angle_gamma 90.00
loop_
_symmetry_equiv_pos_as_xyz
'x,y,z'
loop_
_atom_site_label
_atom_site_type_symbol
_atom_site_fract_x
_atom_site_fract_y
_atom_site_fract_z
Nb1 Nb 0.5000 0.5000 0.5000
Au1 Au 0.0000 0.0000 0.0000
Li1 Li 0.0000 0.5000 0.0000
Li2 Li 0.0000 0.0000 0.5000
Li3 Li 0.5000 0.0000 0.0000
```

## Properties
total magnetic moment = 0.00 μB per formula unit
excess energy over the best structure of this formula in the dataset = 0 meV/atom
Fermi-level density of states = 0.921 states/eV per atom
energy relative to the elements = 0.685 eV per atom
E = -0.2302 Ry/atom
space-group type = Pm-3m